# 1
The following is a PBE-GGA calculation of Gd2AlIn3Pd2 after structural relaxation, from the Open Quantum Materials Database.

The total energy is -37.09 eV for the cell shown.

a = 5.7402 Å, b = 5.7402 Å, c = 7.3054 Å
α = 90.77°, β = 90.77°, γ = 46.23°
Positions (direct):
Gd 0.0000 0.0000 0.0000
Gd 0.1523 0.1523 0.5167
Al 0.7205 0.7205 0.8070
In 0.4335 0.4335 0.2987
In 0.4500 0.4500 0.7045
In 0.7108 0.7108 0.2001
Pd 0.2761 0.2761 0.9826
Pd 0.8601 0.8601 0.5160

***

# 2
The following is a PBE-GGA calculation of GdAlInPd after structural relaxation, from the Open Quantum Materials Database.

For the energy above the lowest structure with this stoichiometry, the calculation gives 0.00 eV/f.u.

a = 5.6696 Å, b = 5.6696 Å, c = 7.2241 Å
α = 91.43°, β = 91.43°, γ = 46.03°
Positions (direct):
Gd 0.0749 0.0749 0.2667
Gd 0.9251 0.9251 0.7333
Al 0.3644 0.3644 0.4457
Al 0.6356 0.6356 0.5543
In 0.3599 0.3599 0.0498
In 0.6401 0.6401 0.9502
Pd 0.2090 0.2090 0.7204
Pd 0.7910 0.7910 0.2796

***

# 3
The following is a PBE-GGA calculation of Gd2AlInPd4 after structural relaxation, from the Open Quantum Materials Database.

The total energy is -43.37 eV for the cell shown.

a = 4.5185 Å, b = 4.5185 Å, c = 9.0574 Å
α = 90.00°, β = 90.00°, γ = 120.00°
Positions (direct):
Gd 0.3333 0.6667 0.2535
Gd 0.6667 0.3333 0.7465
Al 0.0000 0.0000 0.5000
In 0.0000 0.0000 0.0000
Pd 0.3333 0.6667 0.5774
Pd 0.3333 0.6667 0.9113
Pd 0.6667 0.3333 0.0887
Pd 0.6667 0.3333 0.4226

***

# 4
The following is a PBE-GGA calculation of GdAlInPd after structural relaxation, from the Open Quantum Materials Database.

For the energy above the lowest structure with this stoichiometry, the calculation gives 0.05 eV/f.u.

a = 7.1631 Å, b = 5.6957 Å, c = 5.6957 Å
α = 46.06°, β = 90.00°, γ = 90.00°
Positions (direct):
Gd 0.0000 0.0000 0.0000
Gd 0.5000 0.1515 0.1515
Al 0.3074 0.4331 0.4331
Al 0.6926 0.4331 0.4331
In 0.2043 0.7085 0.7085
In 0.7957 0.7085 0.7085
Pd 0.0000 0.2986 0.2986
Pd 0.5000 0.8803 0.8803

***

# 5
The following is a PBE-GGA calculation of GdAlInPd after structural relaxation, from the Open Quantum Materials Database.

For the energy above the lowest structure with this stoichiometry, the calculation gives 0.07 eV/f.u.

a = 5.6859 Å, b = 5.6859 Å, c = 7.1515 Å
α = 90.00°, β = 90.00°, γ = 133.76°
Positions (direct):
Gd 0.0771 0.9229 0.5000
Gd 0.9229 0.0771 0.0000
Al 0.3495 0.6505 0.2915
Al 0.6505 0.3495 0.7915
In 0.3754 0.6246 0.6884
In 0.6246 0.3754 0.1884
Pd 0.2080 0.7920 0.9840
Pd 0.7920 0.2080 0.4840

***

# 6
The following is a PBE-GGA calculation of Gd2AlInPt4 after structural relaxation, from the Open Quantum Materials Database.

The total energy is -48.37 eV for the cell shown.

a = 4.4794 Å, b = 4.4794 Å, c = 9.2134 Å
α = 90.00°, β = 90.00°, γ = 120.00°
Positions (direct):
Gd 0.3333 0.6667 0.2532
Gd 0.6667 0.3333 0.7468
Al 0.0000 0.0000 0.5000
In 0.0000 0.0000 0.0000
Pt 0.3333 0.6667 0.5797
Pt 0.3333 0.6667 0.9042
Pt 0.6667 0.3333 0.0958
Pt 0.6667 0.3333 0.4203

***

# 7
The following is a PBE-GGA calculation of Gd2AlZn2In after structural relaxation, from the Open Quantum Materials Database.

The total energy is -21.13 eV for the cell shown.

a = 4.5818 Å, b = 4.5818 Å, c = 7.3080 Å
α = 90.00°, β = 90.00°, γ = 120.00°
Positions (direct):
Gd 0.0000 0.0000 0.0000
Gd 0.0000 0.0000 0.4887
Al 0.3333 0.6667 0.2192
Zn 0.3333 0.6667 0.8045
Zn 0.6667 0.3333 0.2823
In 0.6667 0.3333 0.7191

***

# 8
The following is a PBE-GGA calculation of GdAl5Ir after structural relaxation, from the Open Quantum Materials Database.

The total energy is -36.68 eV for the cell shown.

a = 4.3095 Å, b = 4.3095 Å, c = 6.9700 Å
α = 90.00°, β = 90.00°, γ = 90.00°
Positions (direct):
Gd 0.0000 0.0000 0.0000
Al 0.0000 0.5000 0.3061
Al 0.0000 0.5000 0.6939
Al 0.5000 0.0000 0.3061
Al 0.5000 0.0000 0.6939
Al 0.5000 0.5000 0.0000
Ir 0.0000 0.0000 0.5000

***

# 9
The following is a PBE-GGA calculation of Gd2Al9Ir3 after structural relaxation, from the Open Quantum Materials Database.

The total energy is -163.42 eV for the cell shown.

a = 7.5666 Å, b = 7.5666 Å, c = 9.5151 Å
α = 90.00°, β = 90.00°, γ = 60.52°
Positions (direct):
Gd 0.0054 0.6713 0.7500
Gd 0.3287 0.9946 0.7500
Gd 0.6713 0.0054 0.2500
Gd 0.9946 0.3287 0.2500
Al 0.0012 0.6648 0.0744
Al 0.0012 0.6648 0.4256
Al 0.1295 0.8705 0.2500
Al 0.3334 0.6666 0.5498
Al 0.3334 0.6666 0.9502
Al 0.3352 0.9988 0.0744
Al 0.3352 0.9988 0.4256
Al 0.3400 0.4516 0.2500
Al 0.4516 0.3400 0.7500
Al 0.5484 0.6600 0.2500
Al 0.6600 0.5484 0.7500
Al 0.6648 0.0012 0.5744
Al 0.6648 0.0012 0.9256
Al 0.6666 0.3334 0.0498
Al 0.6666 0.3334 0.4502
Al 0.8705 0.1295 0.7500
Al 0.9988 0.3352 0.5744
Al 0.9988 0.3352 0.9256
Ir 0.0000 0.0000 0.0000
Ir 0.0000 0.0000 0.5000
Ir 0.3283 0.3283 0.0000
Ir 0.3283 0.3283 0.5000
Ir 0.6717 0.6717 0.0000
Ir 0.6717 0.6717 0.5000

***

# 10
The following is a PBE-GGA calculation of Gd3Mg3Al2Ir after structural relaxation, from the Open Quantum Materials Database.

The total energy is -38.51 eV for the cell shown.

a = 7.3738 Å, b = 7.3738 Å, c = 4.4553 Å
α = 90.00°, β = 90.00°, γ = 120.00°
Positions (direct):
Gd 0.0000 0.3983 0.0000
Gd 0.3983 0.0000 0.0000
Gd 0.6017 0.6017 0.0000
Mg 0.0000 0.7666 0.5000
Mg 0.2334 0.2334 0.5000
Mg 0.7666 0.0000 0.5000
Al 0.3333 0.6667 0.5000
Al 0.6667 0.3333 0.5000
Ir 0.0000 0.0000 0.0000

***

# 11
The following is a PBE-GGA calculation of NdGdAlIr2 after structural relaxation, from the Open Quantum Materials Database.

The total energy is -35.08 eV for the cell shown.

a = 5.6677 Å, b = 5.6677 Å, c = 5.6677 Å
α = 137.14°, β = 117.64°, γ = 78.64°
Positions (direct):
Nd 0.0000 0.0000 0.0000
Gd 0.3969 0.3969 0.0000
Al 0.6982 0.1982 0.5000
Ir 0.4409 0.6986 0.7423
Ir 0.9563 0.6986 0.2577

***

# 12
The following is a PBE-GGA calculation of NdGd2Al3Si2Ir after structural relaxation, from the Open Quantum Materials Database.

The total energy is -52.38 eV for the cell shown.

a = 4.2612 Å, b = 7.0286 Å, c = 7.0286 Å
α = 120.12°, β = 90.00°, γ = 90.00°
Positions (direct):
Nd 0.0000 0.0000 0.0000
Gd 0.0000 0.1698 0.5845
Gd 0.0000 0.5845 0.1698
Al 0.5000 0.3545 0.3545
Al 0.5000 0.5811 0.8131
Al 0.5000 0.8131 0.5811
Si 0.5000 0.2535 0.9144
Si 0.5000 0.9144 0.2535
Ir 0.0000 0.5780 0.5780